Below is VZnTcO6 after structural relaxation, with properties calculated at the PBE with a Hubbard U level.

Cell and atoms, written as POSCAR:
```
VZnTcO6
1.0
-2.191 -4.453 0.762
3.143 1.873 3.438
-6.938 4.115 4.100
O Tc Zn V
12 2 2 2
Cartesian
-5.653 2.679 5.044 O
-3.760 0.963 5.327 O
-2.043 2.913 6.276 O
-0.333 -1.144 3.256 O
-3.942 -1.377 2.025 O
-2.693 -1.706 4.469 O
-1.685 -1.023 0.847 O
-2.226 0.572 2.973 O
-3.293 3.241 3.831 O
-3.981 4.749 5.796 O
-4.301 2.559 7.453 O
-2.005 -3.214 2.504 O
-5.616 0.742 4.729 Tc
-0.370 0.793 3.571 Tc
-3.469 2.058 2.050 Zn
0.000 0.000 0.000 Zn
-3.839 2.851 5.621 V
-2.147 -1.315 2.679 V
```

Values from the calculation:
* energy: -123.68 eV/cell